The following is a DFT calculation (GGA-PBE) of ScIr2Rh after structural relaxation.

calculated formation energy	-0.50	eV/atom
volume	15.3	A^3/atom
crystal system	orthorhombic
density of states at the Fermi level	3.86	states/eV per cell
magnetization	0.00	μB/f.u.

POSCAR file:
```
ScIr2Rh
1.0
-0.186 1.592 4.453
-3.559 -3.066 -0.578
1.714 -2.148 0.840
Ir Rh Sc
2 1 1
direct
0.000 0.000 0.000
0.500 0.500 0.000
0.500 0.000 0.500
0.000 0.500 0.500
```

---

The following is a DFT calculation (GGA-PBE) of CeSmCuS4 after structural relaxation.

volume	20.8	A^3/atom
crystal system	monoclinic
raw formation energy	-145	kJ/mol of atoms
density of states at the Fermi level	7.93	states/eV per cell
magnetization	0.40	μB/f.u.

POSCAR file:
```
CeSmCuS4
1.0
-3.987 3.474 3.821
-4.547 -1.098 -3.745
-0.275 -7.394 2.502
S Sm Ce Cu
8 2 2 2
direct
0.016 0.987 0.755
0.984 0.013 0.245
0.436 0.750 0.608
0.435 0.750 0.115
0.565 0.250 0.885
0.564 0.250 0.392
0.016 0.513 0.755
0.984 0.487 0.245
0.745 0.750 0.937
0.255 0.250 0.063
0.243 0.250 0.561
0.757 0.750 0.439
0.244 0.750 0.316
0.756 0.250 0.684
```

---

The following is a DFT calculation (GGA-PBE) of Si3Cl after structural relaxation.

polymorph energy (0 for the lowest one)	156.6	meV/atom
volume	20.4	A^3/atom
crystal system	orthorhombic
raw formation energy	30	kJ/mol of atoms
density of states at the Fermi level	1.22	states/eV per cell
magnetization	0.00	μB/f.u.

POSCAR file:
```
Si3Cl
1.0
-1.801 -1.049 2.184
1.701 -2.562 0.172
5.107 3.795 6.033
Si Cl
3 1
direct
0.500 0.000 0.509
0.500 0.500 0.290
0.000 0.500 0.665
0.000 0.000 0.869
```

---

The following is a DFT calculation (GGA-PBE) of Nd6As2HS3 after structural relaxation.

volume	24.6	A^3/atom
crystal system	monoclinic
VASP energy	-72.232	eV/f.u.
density of states at the Fermi level	5.23	states/eV per cell
magnetization	0.00	μB/f.u.

POSCAR file:
```
Nd6As2HS3
1.0
4.157 0.000 0.000
0.000 8.173 0.239
-2.079 -2.412 8.621
S H Nd As
3 1 6 2
direct
0.500 0.500 0.000
0.831 0.165 0.663
0.169 0.835 0.337
0.500 0.000 0.000
0.003 0.742 0.007
0.668 0.080 0.337
0.667 0.585 0.334
0.997 0.258 0.993
0.333 0.415 0.666
0.332 0.920 0.663
0.837 0.673 0.674
0.163 0.327 0.326
```

---

Q: Which formula does entry 4 have?
A: Nd6As2HS3